(1)
NdAsNO | PBE-GGA | relaxed

Results
Calculated total energy = -6.919 eV per atom
Offset from the most stable computed form = 0.0000 eV/atom

Unit cell a=6.2821 b=6.6021 c=6.1372 alpha=90.00 beta=90.00 gamma=90.00
With the nearest neighbours (Å) after each atom.
Space group Pca2_1 (No. 29)
Unique sites:
Nd (0.0714, 0.2469, 0.0000) (multiplicity 4)  3 N 2.50-2.53, 3 O 2.53-2.57
As (0.1022, 0.7618, 0.9891) (multiplicity 4)  1 N 1.80, 1 O 1.88
N (0.0963, 0.0790, 0.3653) (multiplicity 4)  1 As 1.80
O (0.0837, 0.4183, 0.6319) (multiplicity 4)  1 As 1.88



(2)
NdTePO | PBE-GGA | relaxed

Results
Calculated total energy = -5.408 eV per atom
Offset from the most stable computed form = 0.3747 eV/atom

Unit cell a=5.8543 b=5.8543 c=5.0811 alpha=90.00 beta=90.00 gamma=90.00
With the nearest neighbours (Å) after each atom.
Space group P4/nmm (No. 129, origin choice 2)
Unique sites:
Nd (0.2500, 0.7500, 0.0000) (multiplicity 2)  2 O 2.54
Te (0.2500, 0.2500, 0.4946) (multiplicity 2)  2 P 2.49-2.59
P (0.2500, 0.2500, 0.0042) (multiplicity 2)  2 Te 2.49-2.59
O (0.2500, 0.7500, 0.5000) (multiplicity 2)  2 Nd 2.54



(3)
Lu4InC2S | PBE-GGA | relaxed

Results
Calculated total energy = -6.319 eV per atom

Unit cell a=3.5579 b=3.5579 c=14.2601 alpha=90.00 beta=90.00 gamma=120.00
With the nearest neighbours (Å) after each atom.
Space group P-6m2 (No. 187)
Unique sites:
Lu (0.0000, 0.0000, 0.1300) (multiplicity 2)  3 C 2.44
Lu (0.6667, 0.3333, 0.3119) (multiplicity 2)  3 C 2.42
In (0.0000, 0.0000, 0.5000) (multiplicity 1)  6 Lu 3.38, 6 In 3.56
C (0.3333, 0.6667, 0.2218) (multiplicity 2)  6 Lu 2.42-2.44
S (0.6667, 0.3333, 0.0000) (multiplicity 1)  6 Lu 2.77



(4)
TaHgBi | PBE-GGA | relaxed

Results
Calculated total energy = -4.653 eV per atom
Offset from the most stable computed form = 0.0000 eV/atom

Unit cell a=6.8700 b=6.8700 c=6.8700 alpha=90.00 beta=90.00 gamma=90.00
With the nearest neighbours (Å) after each atom.
Space group F-43m (No. 216)
Unique sites:
Ta (0.0000, 0.0000, 0.0000) (multiplicity 4)  4 Bi 2.97, 4 Hg 2.97
Hg (0.2500, 0.2500, 0.2500) (multiplicity 4)  4 Ta 2.97
Bi (0.2500, 0.2500, 0.7500) (multiplicity 4)  4 Ta 2.97



(5)
Ho3Mg3Al2Zn | PBE-GGA | relaxed

Results
Calculated total energy = -3.327 eV per atom

Unit cell a=7.3286 b=7.3286 c=4.4552 alpha=90.00 beta=90.00 gamma=120.00
With the nearest neighbours (Å) after each atom.
Space group P-62m (No. 189)
Unique sites:
Ho (0.0000, 0.4211, 0.0000) (multiplicity 3)  1 Zn 3.09, 4 Al 3.13, 2 Mg 3.33
Mg (0.0000, 0.7588, 0.5000) (multiplicity 3)  2 Al 2.84, 2 Zn 2.84, 2 Mg 3.06
Al (0.3333, 0.6667, 0.5000) (multiplicity 2)  3 Mg 2.84, 6 Ho 3.13
Zn (0.0000, 0.0000, 0.0000) (multiplicity 1)  6 Mg 2.84, 3 Ho 3.09



(6)
NbAgSO | PBE-GGA | relaxed

Results
Calculated total energy = -6.310 eV per atom
Offset from the most stable computed form = 0.1423 eV/atom

Unit cell a=3.5323 b=3.5323 c=10.4105 alpha=90.00 beta=90.00 gamma=90.00
With the nearest neighbours (Å) after each atom.
Space group P4/nmm (No. 129, origin choice 2)
Unique sites:
Nb (0.2500, 0.2500, 0.1191) (multiplicity 2)  4 O 2.16
Ag (0.2500, 0.7500, 0.5000) (multiplicity 2)  4 Ag 2.50
S (0.2500, 0.2500, 0.7654) (multiplicity 2)  4 Nb 2.77, 4 O 3.01
O (0.2500, 0.7500, 0.0000) (multiplicity 2)  4 Nb 2.16



(7)
CsZrSb | PBE-GGA | relaxed

Results
Calculated total energy = -3.145 eV per atom

Unit cell a=7.6302 b=7.6302 c=7.6302 alpha=90.00 beta=90.00 gamma=90.00
With the nearest neighbours (Å) after each atom.
Space group F-43m (No. 216)
Unique sites:
Cs (0.0000, 0.0000, 0.0000) (multiplicity 4)  4 Zr 3.30, 4 Sb 3.30
Zr (0.2500, 0.2500, 0.2500) (multiplicity 4)  4 Cs 3.30
Sb (0.2500, 0.2500, 0.7500) (multiplicity 4)  4 Cs 3.30



(8)
Hf3ZrPt2 | PBE-GGA | relaxed

Results
Calculated total energy = -9.183 eV per atom
DFT formation energy = -0.763 eV/atom

Unit cell a=3.3212 b=3.3212 c=10.6436 alpha=90.00 beta=90.00 gamma=90.00
With the nearest neighbours (Å) after each atom.
Space group P4mm (No. 99)
Unique sites:
Hf (0.0000, 0.0000, 0.0000) (multiplicity 1)  4 Pt 2.86, 4 Zr 3.09
Hf (0.0000, 0.0000, 0.3106) (multiplicity 1)  4 Pt 2.89, 4 Hf 3.07
Hf (0.5000, 0.5000, 0.4960) (multiplicity 1)  4 Pt 2.86, 4 Hf 3.07
Zr (0.5000, 0.5000, 0.8120) (multiplicity 1)  4 Pt 2.92, 4 Hf 3.09
Pt (0.0000, 0.0000, 0.6485) (multiplicity 1)  4 Hf 2.86, 4 Zr 2.92
Pt (0.5000, 0.5000, 0.1530) (multiplicity 1)  8 Hf 2.86-2.89